Record 1
Below is CeNdDyIn after structural relaxation, with properties calculated at the GGA-PBE level.

a = 7.7214 Å, b = 7.7214 Å, c = 7.7214 Å
α = 90.00°, β = 90.00°, γ = 90.00°
Closest atoms and distances in Å follow each position.
Space group F-43m (No. 216)
Symmetry-distinct sites (fractional):
Ce  0.0000  0.0000  0.0000 (multiplicity 4)  4 Dy 3.34, 4 Nd 3.34
Nd  0.2500  0.2500  0.2500 (multiplicity 4)  4 In 3.34, 4 Ce 3.34
Dy  0.2500  0.2500  0.7500 (multiplicity 4)  4 In 3.34, 4 Ce 3.34
In  0.0000  0.0000  0.5000 (multiplicity 4)  4 Nd 3.34, 4 Dy 3.34

Magnetic moment ... 0.00 μB per cell
VASP energy ... -4.59 eV/atom
Formation enthalpy at 0 K ... -0.33 eV/f.u.
Fermi-level density of states ... 25.238 states/eV/cell

Record 2
Below is CeDyInOs after structural relaxation, with properties calculated at the GGA-PBE level.

a = 7.2129 Å, b = 7.2129 Å, c = 7.2129 Å
α = 90.00°, β = 90.00°, γ = 90.00°
Closest atoms and distances in Å follow each position.
Space group F-43m (No. 216)
Symmetry-distinct sites (fractional):
Ce  0.0000  0.0000  0.0000 (multiplicity 4)  4 In 3.12, 4 Os 3.12
Dy  0.0000  0.0000  0.5000 (multiplicity 4)  4 In 3.12, 4 Os 3.12
In  0.2500  0.2500  0.2500 (multiplicity 4)  4 Dy 3.12, 4 Ce 3.12
Os  0.2500  0.2500  0.7500 (multiplicity 4)  4 Dy 3.12, 4 Ce 3.12

Magnetic moment ... 1.51 μB per cell
VASP energy ... -6.27 eV/atom
Formation enthalpy at 0 K ... -0.59 eV/f.u.
Fermi-level density of states ... 21.850 states/eV/cell

Record 3
Below is CeDyInOs after structural relaxation, with properties calculated at the GGA-PBE level.

a = 3.3543 Å, b = 3.3543 Å, c = 8.4963 Å
α = 90.00°, β = 90.00°, γ = 90.00°
Closest atoms and distances in Å follow each position.
Space group P4mm (No. 99)
Symmetry-distinct sites (fractional):
Ce  0.0000  0.0000  0.0000 (multiplicity 1)  4 Os 2.95
Dy  0.0000  0.0000  0.4107 (multiplicity 1)  4 Os 2.94
In  0.5000  0.5000  0.6994 (multiplicity 1)  4 In 3.35, 4 Dy 3.41, 4 Ce 3.49
Os  0.5000  0.5000  0.2062 (multiplicity 1)  4 Dy 2.94, 4 Ce 2.95

Magnetic moment ... 0.19 μB per cell
VASP energy ... -6.47 eV/atom
Formation enthalpy at 0 K ... -1.39 eV/f.u.
Fermi-level density of states ... 3.570 states/eV/cell